Record 1
DFT (PBE-GGA) results for a relaxed PaAlCu crystal.

```
PaAlCu
1.0
-2.208 -1.835 -1.383
2.965 -1.150 -3.208
-0.315 -2.464 3.772
Pa Al Cu
1 1 1
Direct
0.667 0.333 0.667 Pa
0.166 0.667 0.333 Al
0.167 0.000 0.000 Cu
```

Formation energy in eV per atom: -0.16
VASP energy in eV/atom: -5.94
Total magnetic moment in μB per atom: 0.000
Calculated density in kg/m3: 9482

***

Record 2
DFT (PBE-GGA) results for a relaxed PaAl4Cu8 crystal.

```
PaAl4Cu8
1.0
4.705 0.000 1.891
2.353 6.058 0.946
0.093 0.000 6.567
Pa Al Cu
1 4 8
Direct
0.000 0.000 0.000 Pa
0.000 0.000 0.500 Al
0.500 0.000 0.500 Al
0.000 0.500 0.000 Al
0.500 0.500 0.000 Al
0.000 0.349 0.651 Cu
0.000 0.651 0.349 Cu
0.349 0.651 0.651 Cu
0.651 0.349 0.349 Cu
0.500 0.784 0.216 Cu
0.500 0.216 0.784 Cu
0.284 0.216 0.216 Cu
0.716 0.784 0.784 Cu
```

Formation energy in eV per atom: -0.17
VASP energy in eV/atom: -4.57
Total magnetic moment in μB per atom: 0.000
Calculated density in kg/m3: 7559

***

Record 3
DFT (PBE-GGA) results for a relaxed PaAlCu11 crystal.

```
PaAlCu11
1.0
4.464 0.010 1.860
2.190 6.165 0.912
-0.047 0.005 6.401
Pa Al Cu
1 1 11
Direct
0.000 0.000 0.000 Pa
0.500 0.500 0.000 Al
0.284 0.217 0.218 Cu
0.716 0.783 0.782 Cu
0.498 0.783 0.218 Cu
0.502 0.217 0.782 Cu
0.349 0.651 0.642 Cu
0.651 0.349 0.358 Cu
0.009 0.349 0.642 Cu
0.991 0.651 0.358 Cu
0.000 0.500 0.000 Cu
0.500 0.000 0.500 Cu
0.000 0.000 0.500 Cu
```

Formation energy in eV per atom: -0.05
VASP energy in eV/atom: -4.53
Total magnetic moment in μB per atom: 0.000
Calculated density in kg/m3: 9000